DFT (PBE-GGA) results for Li2PrGa2Au2 after structural relaxation.

Cell and atoms, written as extended XYZ:
```
7
Lattice="3.931 -2.257 0.000 3.931 2.257 0.000 -2.533 0.000 7.595" Properties=species:S:1:pos:R:3 pbc="T T T"
Li 0.023 0.000 3.217
Li 5.307 0.000 4.378
Pr 0.000 0.000 0.000
Ga 2.641 0.000 2.320
Ga 2.689 0.000 5.275
Au 0.077 0.000 5.781
Au 5.253 0.000 1.814
```

The value obtained for the formation energy is -57 kJ/mol of atoms. For the density of states at the Fermi level, the calculation gives 2.8 states/eV/f.u.

DFT (PBE-GGA) results for In2FeCl after structural relaxation.

Cell and atoms, written as extended XYZ:
```
4
Lattice="3.238 0.000 0.000 0.000 3.257 0.000 0.000 0.000 7.909" Properties=species:S:1:pos:R:3 pbc="T T T"
In 0.000 0.000 1.595
In 0.000 0.000 6.315
Fe 1.619 1.628 0.000
Cl 1.619 0.000 3.955
```

The offset from the most stable computed form comes out at 0.14 eV/f.u. As for the raw formation energy: -0.053 eV per atom. For the density of states at the Fermi level, the calculation gives 3.6 states/eV/f.u.

DFT (PBE-GGA) results for In2TeIr after structural relaxation.

Cell and atoms, written as extended XYZ:
```
4
Lattice="4.456 0.000 0.000 0.000 3.851 0.000 -1.915 0.000 5.242" Properties=species:S:1:pos:R:3 pbc="T T T"
In 0.000 0.000 0.000
In 2.228 1.926 0.000
Te -0.957 1.926 2.621
Ir 1.271 0.000 2.621
```

As for the raw formation energy: 0.336 eV per atom. For the density of states at the Fermi level, the calculation gives 2.1 states/eV/f.u.

DFT (PBE-GGA) results for La3InPd8 after structural relaxation.

Cell and atoms, written as extended XYZ:
```
12
Lattice="2.766 1.597 9.028 -2.766 1.597 9.028 0.000 -3.194 9.028" Properties=species:S:1:pos:R:3 pbc="T T T"
La 0.000 0.000 0.000
La 0.000 0.000 3.504
La 0.000 0.000 13.975
In 0.000 0.000 17.338
Pd 0.000 -1.588 6.362
Pd -1.375 0.794 6.362
Pd -1.380 -0.796 10.880
Pd 0.000 0.000 8.612
Pd 1.375 0.794 6.362
Pd 1.380 -0.796 10.880
Pd 0.000 1.593 10.880
Pd 0.000 0.000 22.159
```

The value obtained for the formation energy is -72 kJ/mol of atoms. For the density of states at the Fermi level, the calculation gives 6.6 states/eV/f.u.